VASP calculation (GGA+U) on PuCo2F8 after structural relaxation.

Crystal system: tetragonal
DFT total energy (eV/atom): -6.21

Unit cell a=5.152 b=5.152 c=10.674 alpha=90.00 beta=90.00 gamma=90.00
Space group I422 (No. 97)
Unique sites:
1 Pu 0.000 0.000 0.000 [2 per cell]
2 Co 0.000 0.500 0.250 [4 per cell]
3 F 0.237 0.247 0.867 [16 per cell]